# MnTlIn3 PBE optimized geometry
data_MnTlIn3
_chemical_formula_sum 'Mn1 Tl1 In3'
_cell_length_a 5.138
_cell_length_b 5.138
_cell_length_c 5.138
_cell_angle_alpha 90.00
_cell_angle_beta 90.00
_cell_angle_gamma 90.00
_symmetry_space_group_name_H-M 'P 1'
_symmetry_Int_Tables_number 1
loop_
_symmetry_equiv_pos_as_xyz
'x,y,z'
loop_
_atom_site_label
_atom_site_fract_x
_atom_site_fract_y
_atom_site_fract_z
In1 0.500 0.000 0.000
In2 0.000 0.000 0.500
In3 0.000 0.500 0.000
Mn1 0.000 0.000 0.000
Tl1 0.500 0.500 0.500
# D(E_F): 2.76 states/eV/cell
# Total moment: 1.50 μB/f.u.
# Polymorph energy (0 for the lowest one): 0 meV/atom
# ΔH_f (0 K): 101.5 kJ/mol of formula units